[1]
Below is a PBEsol-optimized structure of Tl3Pt2, with properties calculated at the meta-GGA SCAN level.

Results
**Space-group type**: P-3m1
**Crystal system**: trigonal
**Formation energy**: 0.00 eV/atom

a b c (Å): 4.7273 4.7273 5.5856
angles (deg): 90.00 90.00 120.00
Element x y z (fractional)
Pt (0.6667, 0.3333, 0.1494)
Pt (0.3333, 0.6667, 0.8506)
Tl (0.6667, 0.3333, 0.6453)
Tl (0.3333, 0.6667, 0.3547)
Tl (0.0000, 0.0000, 0.0000)

[2]
Below is a PBEsol-optimized structure of TlPt2, with properties calculated at the meta-GGA SCAN level.

Results
**Space-group type**: I4/mmm
**Crystal system**: tetragonal
**Excess energy over the best structure of this formula in the dataset**: 253.7 meV/atom
**Formation energy**: 0.23 eV/atom

a b c (Å): 3.0046 3.0046 6.0698
angles (deg): 104.33 104.33 90.00
Element x y z (fractional)
Pt (0.3309, 0.3309, 0.6618)
Pt (0.6691, 0.6691, 0.3382)
Tl (0.0000, 0.0000, 0.0000)